Entry P
ZnCu6Pd12: relaxed, PBE-GGA.

Output
Its space group is No. 148. The spin magnetization comes out at 0.00 μB/atom. The density of states at the Fermi level is 18.8 states/eV/cell.

Lattice parameters (Å, degrees): 6.5269 6.5269 6.5269 88.85 88.85 88.85
Closest atoms and distances in Å follow each position.
Element x y z (fractional)
Zn 0.0000 0.0000 0.0000  6 Cu 2.54, 6 Pd 2.64
Cu 0.7364 0.8886 0.2699  1 Zn 2.54, 7 Pd 2.60-2.81, 2 Cu 2.64
Cu 0.7301 0.2636 0.1114  1 Zn 2.54, 7 Pd 2.60-2.81, 2 Cu 2.64
Cu 0.1114 0.7301 0.2636  1 Zn 2.54, 7 Pd 2.60-2.81, 2 Cu 2.64
Cu 0.2636 0.1114 0.7301  1 Zn 2.54, 7 Pd 2.60-2.81, 2 Cu 2.64
Cu 0.2699 0.7364 0.8886  1 Zn 2.54, 7 Pd 2.60-2.81, 2 Cu 2.64
Cu 0.8886 0.2699 0.7364  1 Zn 2.54, 7 Pd 2.60-2.81, 2 Cu 2.64
Pd 0.8031 0.5282 0.4353  4 Cu 2.60-2.81, 5 Pd 2.69-2.84
Pd 0.4353 0.8031 0.5282  4 Cu 2.60-2.81, 5 Pd 2.69-2.84
Pd 0.5282 0.4353 0.8031  4 Cu 2.60-2.81, 5 Pd 2.69-2.84
Pd 0.1969 0.4718 0.5647  4 Cu 2.60-2.81, 5 Pd 2.69-2.84
Pd 0.5647 0.1969 0.4718  4 Cu 2.60-2.81, 5 Pd 2.69-2.84
Pd 0.4718 0.5647 0.1969  4 Cu 2.60-2.81, 5 Pd 2.69-2.84
Pd 0.0235 0.1543 0.3688  1 Zn 2.64, 5 Pd 2.64-2.84, 5 Cu 2.65-2.91
Pd 0.8457 0.6312 0.9765  1 Zn 2.64, 5 Pd 2.64-2.84, 5 Cu 2.65-2.91
Pd 0.6312 0.9765 0.8457  1 Zn 2.64, 5 Pd 2.64-2.84, 5 Cu 2.65-2.91
Pd 0.9765 0.8457 0.6312  1 Zn 2.64, 5 Pd 2.64-2.84, 5 Cu 2.65-2.91
Pd 0.1543 0.3688 0.0235  1 Zn 2.64, 5 Pd 2.64-2.84, 5 Cu 2.65-2.91
Pd 0.3688 0.0235 0.1543  1 Zn 2.64, 5 Pd 2.64-2.84, 5 Cu 2.65-2.91

---

Entry Q
ZnCu6Pd12: relaxed, PBE-GGA.

Output
Its space group is No. 148. The spin magnetization comes out at 0.00 μB/atom. The density of states at the Fermi level is 18.3 states/eV/cell.

Lattice parameters (Å, degrees): 6.6888 7.2192 7.2192 69.09 72.01 107.99
Closest atoms and distances in Å follow each position.
Element x y z (fractional)
Zn 0.0000 0.0000 0.0000  12 Pd 2.75
Cu 0.4216 0.4726 0.2119  9 Pd 2.69-2.76, 3 Cu 2.72-2.74
Cu 0.0510 0.6845 0.5274  9 Pd 2.69-2.76, 3 Cu 2.72-2.74
Cu 0.3665 0.7881 0.6845  9 Pd 2.69-2.76, 3 Cu 2.72-2.74
Cu 0.5784 0.5274 0.7881  9 Pd 2.69-2.76, 3 Cu 2.72-2.74
Cu 0.9490 0.3155 0.4726  9 Pd 2.69-2.76, 3 Cu 2.72-2.74
Cu 0.6335 0.2119 0.3155  9 Pd 2.69-2.76, 3 Cu 2.72-2.74
Pd 0.5240 0.8438 0.2684  4 Cu 2.69-2.76, 7 Pd 2.70-2.78, 1 Zn 2.75
Pd 0.6802 0.8877 0.8438  4 Cu 2.69-2.76, 7 Pd 2.70-2.78, 1 Zn 2.75
Pd 0.7925 0.2684 0.8877  4 Cu 2.69-2.76, 7 Pd 2.70-2.78, 1 Zn 2.75
Pd 0.4760 0.1562 0.7316  4 Cu 2.69-2.76, 7 Pd 2.70-2.78, 1 Zn 2.75
Pd 0.3198 0.1123 0.1562  4 Cu 2.69-2.76, 7 Pd 2.70-2.78, 1 Zn 2.75
Pd 0.2075 0.7316 0.1123  4 Cu 2.69-2.76, 7 Pd 2.70-2.78, 1 Zn 2.75
Pd 0.2619 0.4243 0.6288  6 Pd 2.70-2.77, 5 Cu 2.71-2.74, 1 Zn 2.75
Pd 0.1094 0.3712 0.0531  6 Pd 2.70-2.77, 5 Cu 2.71-2.74, 1 Zn 2.75
Pd 0.1624 0.0531 0.5757  6 Pd 2.70-2.77, 5 Cu 2.71-2.74, 1 Zn 2.75
Pd 0.7381 0.5757 0.3712  6 Pd 2.70-2.77, 5 Cu 2.71-2.74, 1 Zn 2.75
Pd 0.8906 0.6288 0.9469  6 Pd 2.70-2.77, 5 Cu 2.71-2.74, 1 Zn 2.75
Pd 0.8376 0.9469 0.4243  6 Pd 2.70-2.77, 5 Cu 2.71-2.74, 1 Zn 2.75

---

Which of them is most stable? Easy: entry Q.

---

Entry P
ZnCu4Pd7: relaxed, PBE-GGA.

Output
Its space group is No. 164. The spin magnetization comes out at 0.00 μB/atom. The density of states at the Fermi level is 9.3 states/eV/cell.

Lattice parameters (Å, degrees): 4.3105 4.3105 10.6090 90.00 90.00 120.00
Closest atoms and distances in Å follow each position.
Element x y z (fractional)
Zn 0.0000 0.0000 0.5000  8 Pd 2.54-2.63
Cu 0.3333 0.6667 0.9085  1 Cu 2.52, 7 Pd 2.57-2.67
Cu 0.6667 0.3333 0.0915  1 Cu 2.52, 7 Pd 2.57-2.67
Cu 0.3333 0.6667 0.6713  1 Cu 2.52, 7 Pd 2.59-2.68
Cu 0.6667 0.3333 0.3287  1 Cu 2.52, 7 Pd 2.59-2.68
Pd 0.0000 0.0000 0.0000  6 Cu 2.67, 8 Pd 2.77-2.97
Pd 0.3333 0.6667 0.4186  3 Zn 2.63, 4 Cu 2.66-2.68, 1 Pd 2.81
Pd 0.6667 0.3333 0.5814  3 Zn 2.63, 4 Cu 2.66-2.68, 1 Pd 2.81
Pd 0.3333 0.6667 0.1533  4 Cu 2.57-2.60, 4 Pd 2.74-2.81
Pd 0.6667 0.3333 0.8467  4 Cu 2.57-2.60, 4 Pd 2.74-2.81
Pd 0.0000 0.0000 0.7394  1 Zn 2.54, 3 Cu 2.59, 4 Pd 2.74-2.77
Pd 0.0000 0.0000 0.2606  1 Zn 2.54, 3 Cu 2.59, 4 Pd 2.74-2.77

---

Entry Q
ZnCu4Pd7: relaxed, PBE-GGA.

Output
Its space group is No. 12. The spin magnetization comes out at 0.00 μB/atom. The density of states at the Fermi level is 11.2 states/eV/cell.

Lattice parameters (Å, degrees): 4.5654 7.5444 6.2223 80.82 68.48 72.39
Closest atoms and distances in Å follow each position.
Element x y z (fractional)
Zn 0.0000 0.0000 0.0000  4 Pd 2.28-2.55
Cu 0.5648 0.2216 0.6489  8 Pd 2.47-2.69, 1 Cu 2.59
Cu 0.4352 0.7784 0.3511  8 Pd 2.47-2.69, 1 Cu 2.59
Cu 0.7026 0.6585 0.9363  8 Pd 2.50-2.71, 1 Cu 2.59
Cu 0.2974 0.3415 0.0637  8 Pd 2.50-2.71, 1 Cu 2.59
Pd 0.7824 0.8744 0.5608  4 Cu 2.58-2.69, 2 Pd 2.68-2.74
Pd 0.2176 0.1256 0.4392  4 Cu 2.58-2.69, 2 Pd 2.68-2.74
Pd 0.0718 0.6701 0.1864  5 Cu 2.50-2.71, 1 Zn 2.55, 1 Pd 2.68
Pd 0.9282 0.3299 0.8136  5 Cu 2.50-2.71, 1 Zn 2.55, 1 Pd 2.68
Pd 0.3488 0.5849 0.7175  5 Cu 2.47-2.68
Pd 0.5000 0.0000 0.0000  2 Zn 2.28, 4 Cu 2.50-2.51
Pd 0.6512 0.4151 0.2825  5 Cu 2.47-2.68

---

Which of them is most stable? Easy: entry P.

---

Entry P
Zn8Cu2Pd: relaxed, PBE-GGA.

Output
Its space group is No. 5. The spin magnetization comes out at 0.00 μB/atom. The density of states at the Fermi level is 2.7 states/eV/cell.

Lattice parameters (Å, degrees): 4.1320 6.3556 7.1481 116.39 106.16 90.00
Closest atoms and distances in Å follow each position.
Element x y z (fractional)
Zn 0.6367 0.1953 0.9091  2 Cu 2.48, 4 Zn 2.58-2.77, 2 Pd 2.76-2.77
Zn 0.9706 0.0252 0.5822  8 Zn 2.68-2.89, 1 Pd 2.68, 3 Cu 2.70-2.72
Zn 0.3018 0.3520 0.2360  8 Zn 2.68-2.89, 1 Pd 2.68, 3 Cu 2.70-2.72
Zn 0.7677 0.0146 0.1772  6 Zn 2.55-2.85, 2 Pd 2.63-2.65, 1 Cu 2.65
Zn 0.3287 0.8687 0.2989  3 Cu 2.52-2.66, 6 Zn 2.55-2.79, 1 Pd 2.79
Zn 0.9437 0.4788 0.5193  3 Cu 2.52-2.65, 6 Zn 2.55-2.79, 1 Pd 2.79
Zn 0.1370 0.4849 0.9092  6 Zn 2.66-2.77, 1 Pd 2.68, 4 Cu 2.73-2.76
Zn 0.5046 0.7465 0.6408  6 Zn 2.55-2.85, 2 Pd 2.63-2.65, 1 Cu 2.65
Cu 0.7842 0.6120 0.2056  10 Zn 2.48-2.76
Cu 0.4886 0.3159 0.6127  10 Zn 2.48-2.76
Pd 0.1362 0.9061 0.9090  11 Zn 2.63-2.79

---

Entry Q
Zn8Cu2Pd: relaxed, PBE-GGA.

Output
Its space group is No. 12. The spin magnetization comes out at 0.00 μB/atom. The density of states at the Fermi level is 2.9 states/eV/cell.

Lattice parameters (Å, degrees): 4.4578 6.7854 6.8241 60.19 78.77 66.93
Closest atoms and distances in Å follow each position.
Element x y z (fractional)
Zn 0.8584 0.0943 0.2257  2 Cu 2.51-2.61, 5 Zn 2.59-2.80
Zn 0.8584 0.3199 0.7743  2 Cu 2.51-2.61, 5 Zn 2.59-2.80
Zn 0.2972 0.4048 0.0000  4 Zn 2.45-2.69, 1 Pd 2.53, 2 Cu 2.62
Zn 0.5000 0.7824 0.4352  2 Cu 2.46, 1 Pd 2.58
Zn 0.5000 0.2176 0.5648  2 Cu 2.46, 1 Pd 2.58
Zn 0.7028 0.5952 0.0000  4 Zn 2.45-2.69, 1 Pd 2.53, 2 Cu 2.62
Zn 0.1416 0.6801 0.2257  2 Cu 2.51-2.61, 5 Zn 2.59-2.80
Zn 0.1416 0.9057 0.7743  2 Cu 2.51-2.61, 5 Zn 2.59-2.80
Cu 0.0000 0.3046 0.3909  8 Zn 2.46-2.62
Cu 0.0000 0.6954 0.6091  8 Zn 2.46-2.62
Pd 0.5000 0.0000 0.0000  4 Zn 2.53-2.58

---

Which of them is most stable? Easy: entry P.

---

Entry P
Zn8CuPd2: relaxed, PBE-GGA.

Output
Its space group is No. 2. The spin magnetization comes out at 0.00 μB/atom. The density of states at the Fermi level is 2.7 states/eV/cell.

Lattice parameters (Å, degrees): 4.6573 4.8310 8.3706 99.74 121.83 82.87
Closest atoms and distances in Å follow each position.
Element x y z (fractional)
Zn 0.5892 0.5468 0.1775  8 Zn 2.60-2.79, 2 Pd 2.70-2.73, 2 Cu 2.72-2.77
Zn 0.3176 0.9149 0.6442  1 Cu 2.60, 8 Zn 2.68-2.84, 3 Pd 2.68-2.70
Zn 0.2284 0.3593 0.4535  9 Zn 2.67-2.84, 3 Pd 2.71-2.75
Zn 0.0462 0.2652 0.0889  7 Zn 2.67-2.79, 2 Cu 2.67-2.71, 3 Pd 2.68-2.81
Zn 0.7716 0.6407 0.5465  9 Zn 2.67-2.84, 3 Pd 2.71-2.75
Zn 0.6824 0.0851 0.3558  1 Cu 2.60, 8 Zn 2.68-2.84, 3 Pd 2.68-2.70
Zn 0.4108 0.4532 0.8225  8 Zn 2.60-2.79, 2 Pd 2.70-2.73, 2 Cu 2.72-2.77
Zn 0.9538 0.7348 0.9111  7 Zn 2.67-2.79, 2 Cu 2.67-2.71, 3 Pd 2.68-2.81
Pd 0.1462 0.8145 0.2782  11 Zn 2.68-2.81, 1 Cu 2.82
Pd 0.8538 0.1855 0.7218  11 Zn 2.68-2.81, 1 Cu 2.82
Cu 0.5000 0.0000 0.0000  10 Zn 2.60-2.77, 2 Pd 2.82

---

Entry Q
Zn8CuPd2: relaxed, PBE-GGA.

Output
Its space group is No. 12. The spin magnetization comes out at 0.00 μB/atom. The density of states at the Fermi level is 2.1 states/eV/cell.

Lattice parameters (Å, degrees): 4.6896 6.7873 7.0781 61.35 74.95 57.20
Closest atoms and distances in Å follow each position.
Element x y z (fractional)
Zn 0.8193 0.1043 0.2365  4 Zn 2.52-2.77, 2 Pd 2.63-2.64
Zn 0.8193 0.3409 0.7635  4 Zn 2.52-2.77, 2 Pd 2.63-2.64
Zn 0.2993 0.4190 0.0000  6 Zn 2.40-2.64, 1 Cu 2.46
Zn 0.5000 0.7975 0.4050  1 Cu 2.52, 2 Pd 2.66, 2 Zn 2.77
Zn 0.5000 0.2025 0.5950  1 Cu 2.52, 2 Pd 2.66, 2 Zn 2.77
Zn 0.7007 0.5810 0.0000  6 Zn 2.40-2.64, 1 Cu 2.46
Zn 0.1807 0.6591 0.2365  4 Zn 2.52-2.77, 2 Pd 2.63-2.64
Zn 0.1807 0.8957 0.7635  4 Zn 2.52-2.77, 2 Pd 2.63-2.64
Cu 0.5000 0.0000 0.0000  4 Zn 2.46-2.52
Pd 0.0000 0.3044 0.3911  10 Zn 2.63-2.90
Pd 0.0000 0.6956 0.6089  10 Zn 2.63-2.90

---

Which of them is most stable? Easy: entry P.

---

Entry P
ZrCu2Pd2: relaxed, PBE-GGA.

Output
Its space group is No. 127. The spin magnetization comes out at 0.00 μB/atom. The density of states at the Fermi level is 6.3 states/eV/cell.

Lattice parameters (Å, degrees): 7.1875 7.1875 2.9835 90.00 90.00 90.00
Closest atoms and distances in Å follow each position.
Element x y z (fractional)
Cu 0.3782 0.8782 0.0000  1 Cu 2.48, 6 Pd 2.56-2.62
Cu 0.8782 0.6218 0.0000  1 Cu 2.48, 6 Pd 2.56-2.62
Cu 0.6218 0.1218 0.0000  1 Cu 2.48, 6 Pd 2.56-2.62
Cu 0.1218 0.3782 0.0000  1 Cu 2.48, 6 Pd 2.56-2.62
Zr 0.0000 0.0000 0.0000  4 Cu 2.86, 2 Zr 2.98, 8 Pd 3.05
Zr 0.5000 0.5000 0.0000  4 Cu 2.86, 2 Zr 2.98, 8 Pd 3.05
Pd 0.1732 0.6732 0.5000  6 Cu 2.56-2.62
Pd 0.6732 0.8268 0.5000  6 Cu 2.56-2.62
Pd 0.8268 0.3268 0.5000  6 Cu 2.56-2.62
Pd 0.3268 0.1732 0.5000  6 Cu 2.56-2.62

---

Entry Q
ZrCu2Pd2: relaxed, PBE-GGA.

Output
Its space group is No. 139. The spin magnetization comes out at 0.00 μB/atom. The density of states at the Fermi level is 2.5 states/eV/cell.

Lattice parameters (Å, degrees): 3.8419 3.8419 6.1154 71.69 71.69 90.00
Closest atoms and distances in Å follow each position.
Element x y z (fractional)
Cu 0.3980 0.3980 0.2040  1 Cu 2.24
Cu 0.6020 0.6020 0.7960  1 Cu 2.24
Zr 0.0000 0.0000 0.0000  8 Cu 2.94
Pd 0.7500 0.2500 0.5000  4 Cu 2.51, 4 Pd 2.72
Pd 0.2500 0.7500 0.5000  4 Cu 2.51, 4 Pd 2.72

---

Entry R
ZrCu2Pd2: relaxed, PBE-GGA.

Output
Its space group is No. 127. The spin magnetization comes out at 0.00 μB/atom. The density of states at the Fermi level is 5.5 states/eV/cell.

Lattice parameters (Å, degrees): 7.3088 7.3088 2.9143 90.00 90.00 90.00
Closest atoms and distances in Å follow each position.
Element x y z (fractional)
Cu 0.1585 0.6585 0.5000  6 Pd 2.57-2.61
Cu 0.6585 0.8415 0.5000  6 Pd 2.57-2.61
Cu 0.8415 0.3415 0.5000  6 Pd 2.57-2.61
Cu 0.3415 0.1585 0.5000  6 Pd 2.57-2.61
Zr 0.0000 0.0000 0.0000  4 Pd 2.83, 2 Zr 2.91, 8 Cu 3.11
Zr 0.5000 0.5000 0.0000  4 Pd 2.83, 2 Zr 2.91, 8 Cu 3.11
Pd 0.3628 0.8628 0.0000  6 Cu 2.57-2.61, 2 Zr 2.83, 1 Pd 2.84
Pd 0.8628 0.6372 0.0000  6 Cu 2.57-2.61, 2 Zr 2.83, 1 Pd 2.84
Pd 0.6372 0.1372 0.0000  6 Cu 2.57-2.61, 2 Zr 2.83, 1 Pd 2.84
Pd 0.1372 0.3628 0.0000  6 Cu 2.57-2.61, 2 Zr 2.83, 1 Pd 2.84

---

Entry S
ZrCu2Pd2: relaxed, PBE-GGA.

Output
Its space group is No. 65. The spin magnetization comes out at 0.00 μB/atom. The density of states at the Fermi level is 2.9 states/eV/cell.

Lattice parameters (Å, degrees): 3.9893 3.9893 5.4882 89.99 89.99 109.33
Closest atoms and distances in Å follow each position.
Element x y z (fractional)
Zr 0.0000 0.0000 0.0000  4 Pd 2.69, 4 Cu 2.97
Cu 0.8253 0.1747 0.5000  3 Cu 2.27-2.51, 2 Pd 2.52
Cu 0.1747 0.8253 0.5000  3 Cu 2.27-2.51, 2 Pd 2.52
Pd 0.5001 0.5001 0.7489  2 Cu 2.52, 2 Zr 2.69, 2 Pd 2.73-2.76
Pd 0.4999 0.4999 0.2511  2 Cu 2.52, 2 Zr 2.69, 2 Pd 2.73-2.76

---

Which of them is most stable? Easy: entry P.

---

Entry P
ZrCu2Pd4: relaxed, PBE-GGA.

Output
Its space group is No. 1. The spin magnetization comes out at 0.00 μB/atom. The density of states at the Fermi level is 5.7 states/eV/cell.

Lattice parameters (Å, degrees): 5.4192 6.5426 8.3241 120.23 106.19 102.55
Closest atoms and distances in Å follow each position.
Element x y z (fractional)
Zr 0.2776 0.6690 0.4536  5 Pd 2.68-2.86, 2 Cu 2.92-3.00
Zr 0.0759 0.9937 0.0180  8 Pd 2.68-2.88, 1 Cu 2.93
Cu 0.4814 0.3972 0.6954  6 Pd 2.53-2.68, 2 Cu 2.65-2.80
Cu 0.8118 0.8669 0.4308  7 Pd 2.54-2.78, 2 Cu 2.76-2.81
Cu 0.6677 0.3367 0.1776  6 Pd 2.56-2.78, 1 Cu 2.76
Cu 0.0153 0.4084 0.7354  6 Pd 2.51-2.80, 3 Cu 2.65-2.81
Pd 0.9924 0.2020 0.3638  4 Cu 2.58-2.68, 2 Zr 2.70-2.72, 2 Pd 2.81-2.86
Pd 0.3270 0.5373 0.1064  3 Cu 2.56-2.64, 1 Zr 2.68, 3 Pd 2.69-2.75
Pd 0.7872 0.6060 0.5757  4 Cu 2.54-2.63, 2 Pd 2.82-2.83
Pd 0.7535 0.1066 0.7951  2 Cu 2.51-2.78, 2 Pd 2.64-2.79, 2 Zr 2.68-2.73
Pd 0.4554 0.0629 0.3501  2 Cu 2.53-2.65, 1 Zr 2.69, 2 Pd 2.75-2.81
Pd 0.2511 0.0845 0.7718  4 Cu 2.54-2.80, 4 Pd 2.64-2.82, 2 Zr 2.74-2.75
Pd 0.4934 0.8394 0.9440  3 Cu 2.54-2.66, 1 Zr 2.77
Pd 0.8603 0.6394 0.0823  3 Cu 2.60-2.64, 1 Zr 2.73, 4 Pd 2.73-2.91

---

Entry Q
ZrCu2Pd4: relaxed, PBE-GGA.

Output
Its space group is No. 8. The spin magnetization comes out at 0.00 μB/atom. The density of states at the Fermi level is 4.4 states/eV/cell.

Lattice parameters (Å, degrees): 4.8420 6.3016 4.8422 81.71 132.47 98.29
Closest atoms and distances in Å follow each position.
Element x y z (fractional)
Pd 0.5015 0.2247 0.4271  4 Cu 2.64-2.79, 6 Pd 2.76-2.93, 2 Zr 2.81
Pd 0.3503 0.7770 0.5783  4 Cu 2.66-2.96, 5 Pd 2.77-2.93, 3 Zr 2.80-2.83
Pd 0.7786 0.0724 0.1499  3 Zr 2.76-2.83, 6 Pd 2.77-2.86, 3 Cu 2.80-2.89
Pd 0.9344 0.5063 0.9942  6 Cu 2.74-2.81, 1 Zr 2.74, 5 Pd 2.76-2.86
Cu 0.6487 0.6226 0.2799  7 Pd 2.64-2.89, 2 Cu 2.67, 2 Zr 2.92
Cu 0.2201 0.3665 0.7087  9 Pd 2.66-2.81, 2 Cu 2.67, 1 Zr 2.87
Zr 0.0665 0.9304 0.8620  9 Pd 2.74-2.83, 3 Cu 2.87-2.92

---

Which of them is most stable? Easy: entry Q.